A plane-wave DFT calculation with PBE-GGA was carried out for a geometry-optimized Ca3CoMo structure.

Output
Size of the total moment, μB per atom: 0.528
Symmetry: No. 221
DOS(E_F), states/eV/atom: 2.449
Polymorph energy (0 for the lowest one), meV per atom: 428

a = 5.404 Å, b = 5.404 Å, c = 5.404 Å
α = 90.00°, β = 90.00°, γ = 90.00°
Each line ends with the local moment (μB).
Atoms (fractional coordinates):
Mo: 0.000 0.000 0.000  0.69
Co: 0.500 0.500 0.500  2.07
Ca: 0.000 0.500 0.000  0.01
Ca: 0.000 0.000 0.500  -0.01
Ca: 0.500 0.000 0.000  0.02

---

A plane-wave DFT calculation with PBE-GGA was carried out for a geometry-optimized Ca2CoMo structure.

Output
Size of the total moment, μB per atom: 0.000
Symmetry: No. 71
DOS(E_F), states/eV/atom: 1.028
Polymorph energy (0 for the lowest one), meV per atom: 92

a = 8.778 Å, b = 8.778 Å, c = 8.778 Å
α = 158.23°, β = 156.65°, γ = 32.13°
Atoms (fractional coordinates):
Mo: 0.250 0.750 0.500
Co: 0.750 0.250 0.500
Ca: 0.901 0.901 0.000
Ca: 0.599 0.599 0.000

---

A plane-wave DFT calculation with PBE-GGA was carried out for a geometry-optimized Ca2CoMo structure.

Output
Size of the total moment, μB per atom: 0.000
Symmetry: No. 6
DOS(E_F), states/eV/atom: 1.115
Polymorph energy (0 for the lowest one), meV per atom: 0

a = 3.233 Å, b = 3.233 Å, c = 9.416 Å
α = 69.98°, β = 90.00°, γ = 90.00°
Atoms (fractional coordinates):
Mo: 0.500 0.827 0.673
Co: 0.000 0.432 0.568
Ca: 0.000 0.063 0.937
Ca: 0.500 0.179 0.322

---

A plane-wave DFT calculation with PBE-GGA was carried out for a geometry-optimized CaCoMo structure.

Output
Size of the total moment, μB per atom: 0.409
Symmetry: No. 25
DOS(E_F), states/eV/atom: 1.233
Polymorph energy (0 for the lowest one), meV per atom: 191

a = 4.150 Å, b = 4.214 Å, c = 7.227 Å
α = 90.00°, β = 90.00°, γ = 90.00°
Each line ends with the local moment (μB).
Atoms (fractional coordinates):
Mo: 0.348 0.000 0.499  0.04
Mo: 0.348 0.500 0.318  0.10
Co: 0.848 0.500 0.156  1.12
Co: 0.848 0.000 0.320  1.26
Ca: 0.348 0.000 0.002  -0.02
Ca: 0.848 0.500 0.678  0.01

---

A plane-wave DFT calculation with PBE-GGA was carried out for a geometry-optimized Ca2CoMo structure.

Output
Size of the total moment, μB per atom: 0.121
Symmetry: No. 166
DOS(E_F), states/eV/atom: 1.186
Polymorph energy (0 for the lowest one), meV per atom: 545

a = 9.708 Å, b = 9.708 Å, c = 9.708 Å
α = 18.60°, β = 18.60°, γ = 18.60°
Each line ends with the local moment (μB).
Atoms (fractional coordinates):
Mo: 0.750 0.750 0.750  -0.28
Co: 0.250 0.250 0.250  1.14
Ca: 0.993 0.993 0.993  -0.05
Ca: 0.507 0.507 0.507  -0.05

---

A plane-wave DFT calculation with PBE-GGA was carried out for a geometry-optimized CaCoMo structure.

Output
Size of the total moment, μB per atom: 0.000
Symmetry: No. 216
DOS(E_F), states/eV/atom: 1.219
Polymorph energy (0 for the lowest one), meV per atom: 711

a = 4.334 Å, b = 4.334 Å, c = 4.334 Å
α = 60.00°, β = 60.00°, γ = 60.00°
Atoms (fractional coordinates):
Mo: 0.000 0.000 0.000
Co: 0.750 0.750 0.750
Ca: 0.500 0.500 0.500

---

A plane-wave DFT calculation with PBE-GGA was carried out for a geometry-optimized CaCoMo structure.

Output
Size of the total moment, μB per atom: 1.403
Symmetry: No. 216
DOS(E_F), states/eV/atom: 2.464
Polymorph energy (0 for the lowest one), meV per atom: 1800

a = 4.535 Å, b = 4.535 Å, c = 4.535 Å
α = 60.00°, β = 60.00°, γ = 60.00°
Each line ends with the local moment (μB).
Atoms (fractional coordinates):
Mo: 0.500 0.500 0.500  2.49
Co: 0.000 0.000 0.000  1.23
Ca: 0.750 0.750 0.750  0.09

---

A plane-wave DFT calculation with PBE-GGA was carried out for a geometry-optimized Ca2CoMo structure.

Output
Size of the total moment, μB per atom: 0.000
Symmetry: No. 44
DOS(E_F), states/eV/atom: 1.297
Polymorph energy (0 for the lowest one), meV per atom: 124

a = 5.985 Å, b = 5.985 Å, c = 5.126 Å
α = 64.67°, β = 64.67°, γ = 34.51°
Atoms (fractional coordinates):
Mo: 0.182 0.182 0.319
Co: 0.548 0.548 0.452
Ca: 0.992 0.992 0.008
Ca: 0.779 0.779 0.721

---

A plane-wave DFT calculation with PBE-GGA was carried out for a geometry-optimized Ca2CoMo structure.

Output
Size of the total moment, μB per atom: 0.264
Symmetry: No. 65
DOS(E_F), states/eV/atom: 1.542
Polymorph energy (0 for the lowest one), meV per atom: 404

a = 2.955 Å, b = 2.955 Å, c = 9.239 Å
α = 90.00°, β = 90.00°, γ = 91.94°
Each line ends with the local moment (μB).
Atoms (fractional coordinates):
Mo: 0.500 0.500 0.750  0.02
Co: 0.500 0.500 0.250  1.27
Ca: 0.000 0.000 0.020  -0.04
Ca: 0.000 0.000 0.480  -0.04

---

A plane-wave DFT calculation with PBE-GGA was carried out for a geometry-optimized CaCoMo structure.

Output
Size of the total moment, μB per atom: 0.000
Symmetry: No. 187
DOS(E_F), states/eV/atom: 1.055
Polymorph energy (0 for the lowest one), meV per atom: 333

a = 3.923 Å, b = 3.923 Å, c = 4.789 Å
α = 90.00°, β = 90.00°, γ = 120.00°
Atoms (fractional coordinates):
Mo: 0.333 0.667 0.500
Co: 0.667 0.333 0.500
Ca: 0.000 0.000 0.000

---

A plane-wave DFT calculation with PBE-GGA was carried out for a geometry-optimized Ca2CoMo structure.

Output
Size of the total moment, μB per atom: 0.686
Symmetry: No. 47
DOS(E_F), states/eV/atom: 1.029
Polymorph energy (0 for the lowest one), meV per atom: 543

a = 4.185 Å, b = 4.214 Å, c = 4.672 Å
α = 90.00°, β = 90.00°, γ = 90.00°
Each line ends with the local moment (μB).
Atoms (fractional coordinates):
Mo: 0.000 0.500 0.500  1.20
Co: 0.500 0.000 0.500  1.54
Ca: 0.000 0.000 0.000  -0.03
Ca: 0.500 0.500 0.000  -0.03

---

A plane-wave DFT calculation with PBE-GGA was carried out for a geometry-optimized CaCoMo structure.

Output
Size of the total moment, μB per atom: 0.000
Symmetry: No. 129
DOS(E_F), states/eV/atom: 0.910
Polymorph energy (0 for the lowest one), meV per atom: 0

a = 4.340 Å, b = 4.340 Å, c = 6.446 Å
α = 90.00°, β = 90.00°, γ = 90.00°
Atoms (fractional coordinates):
Mo: 0.000 0.000 0.500
Mo: 0.500 0.500 0.500
Co: 0.000 0.500 0.344
Co: 0.500 0.000 0.656
Ca: 0.000 0.500 0.863
Ca: 0.500 0.000 0.137

---

Q: Which formation energy values were calculated for the entries above? A: 6.7; 1.7; 1.4; 1.1; 3.6; 2.6; 5.9; 1.9; 3.0; 1.5; 3.5; 0.5, in eV/f.u..